[1]
# LiVSbTe2

A geometry-optimized LiVSbTe2 structure (PBE-GGA, Alexandria via LeMat-Bulk). Values from VASP.

The structure in Quantum ESPRESSO input format:
```
&SYSTEM
  ibrav = 0, nat = 5, ntyp = 4
/
ATOMIC_SPECIES
Li 6.94 Li.upf
V 50.94 V.upf
Sb 121.76 Sb.upf
Te 127.60 Te.upf
CELL_PARAMETERS angstrom
5.2793 0.0000 0.0000
0.0000 5.2793 0.0000
0.0000 0.0000 5.2090
ATOMIC_POSITIONS crystal
Li 0.0000 0.0000 0.0000
V 0.5000 0.5000 0.5000
Sb 0.5000 0.5000 0.0000
Te 0.0000 0.5000 0.5000
Te 0.5000 0.0000 0.5000
```

Output
Its uncorrected formation energy is 0.347 eV/f.u. Its crystal system is tetragonal. For the total energy, the calculation gives -21.092 eV/f.u.

[2]
# LiVSbTe2

A geometry-optimized LiVSbTe2 structure (PBE-GGA, Alexandria via LeMat-Bulk). Values from VASP.

The structure in Quantum ESPRESSO input format:
```
&SYSTEM
  ibrav = 0, nat = 5, ntyp = 4
/
ATOMIC_SPECIES
Li 6.94 Li.upf
V 50.94 V.upf
Sb 121.76 Sb.upf
Te 127.60 Te.upf
CELL_PARAMETERS angstrom
5.1457 0.0000 0.0000
0.0000 5.1457 0.0000
0.0000 0.0000 4.7289
ATOMIC_POSITIONS crystal
Li 0.0000 0.0000 0.0000
V 0.5000 0.5000 0.5000
Sb 0.0000 0.0000 0.5000
Te 0.0000 0.5000 0.0000
Te 0.5000 0.0000 0.0000
```

Output
Its uncorrected formation energy is 3.771 eV/f.u. Its crystal system is tetragonal. For the total energy, the calculation gives -17.668 eV/f.u.

[3]
# LiYSbTe2

A geometry-optimized LiYSbTe2 structure (PBE-GGA, Alexandria via LeMat-Bulk). Values from VASP.

The structure in Quantum ESPRESSO input format:
```
&SYSTEM
  ibrav = 0, nat = 5, ntyp = 4
/
ATOMIC_SPECIES
Li 6.94 Li.upf
Y 88.91 Y.upf
Sb 121.76 Sb.upf
Te 127.60 Te.upf
CELL_PARAMETERS angstrom
5.8926 0.0000 0.0000
0.0000 5.8926 0.0000
0.0000 0.0000 5.8415
ATOMIC_POSITIONS crystal
Li 0.0000 0.0000 0.0000
Y 0.5000 0.5000 0.5000
Sb 0.5000 0.5000 0.0000
Te 0.0000 0.5000 0.5000
Te 0.5000 0.0000 0.5000
```

Output
Its uncorrected formation energy is -1.232 eV/f.u. Its crystal system is tetragonal. For the total energy, the calculation gives -20.016 eV/f.u.

[4]
# LiYSbTe2

A geometry-optimized LiYSbTe2 structure (PBE-GGA, Alexandria via LeMat-Bulk). Values from VASP.

The structure in Quantum ESPRESSO input format:
```
&SYSTEM
  ibrav = 0, nat = 5, ntyp = 4
/
ATOMIC_SPECIES
Li 6.94 Li.upf
Y 88.91 Y.upf
Sb 121.76 Sb.upf
Te 127.60 Te.upf
CELL_PARAMETERS angstrom
5.3078 0.0000 0.0000
0.0000 5.3078 0.0000
0.0000 0.0000 4.7898
ATOMIC_POSITIONS crystal
Li 0.0000 0.0000 0.0000
Y 0.5000 0.5000 0.5000
Sb 0.0000 0.0000 0.5000
Te 0.0000 0.5000 0.0000
Te 0.5000 0.0000 0.0000
```

Output
Its uncorrected formation energy is -1.399 eV/f.u. Its crystal system is tetragonal. For the total energy, the calculation gives -20.183 eV/f.u.

[5]
# LiZnSbTe2

A geometry-optimized LiZnSbTe2 structure (PBE-GGA, Alexandria via LeMat-Bulk). Values from VASP.

The structure in Quantum ESPRESSO input format:
```
&SYSTEM
  ibrav = 0, nat = 5, ntyp = 4
/
ATOMIC_SPECIES
Li 6.94 Li.upf
Zn 65.41 Zn.upf
Sb 121.76 Sb.upf
Te 127.60 Te.upf
CELL_PARAMETERS angstrom
5.5567 0.0000 0.0000
0.0000 5.5567 0.0000
0.0000 0.0000 5.0671
ATOMIC_POSITIONS crystal
Li 0.0000 0.0000 0.0000
Zn 0.5000 0.5000 0.5000
Sb 0.5000 0.5000 0.0000
Te 0.0000 0.5000 0.5000
Te 0.5000 0.0000 0.5000
```

Output
Its uncorrected formation energy is 0.944 eV/f.u. Its crystal system is tetragonal. For the total energy, the calculation gives -12.650 eV/f.u.

[6]
# LiZnSbTe2

A geometry-optimized LiZnSbTe2 structure (PBE-GGA, Alexandria via LeMat-Bulk). Values from VASP.

The structure in Quantum ESPRESSO input format:
```
&SYSTEM
  ibrav = 0, nat = 5, ntyp = 4
/
ATOMIC_SPECIES
Li 6.94 Li.upf
Zn 65.41 Zn.upf
Sb 121.76 Sb.upf
Te 127.60 Te.upf
CELL_PARAMETERS angstrom
5.2370 0.0000 0.0000
0.0000 5.2370 0.0000
0.0000 0.0000 4.8527
ATOMIC_POSITIONS crystal
Li 0.0000 0.0000 0.0000
Zn 0.5000 0.5000 0.5000
Sb 0.0000 0.0000 0.5000
Te 0.0000 0.5000 0.0000
Te 0.5000 0.0000 0.0000
```

Output
Its uncorrected formation energy is 1.692 eV/f.u. Its crystal system is tetragonal. For the total energy, the calculation gives -11.902 eV/f.u.

[7]
# LiZnSb2Te

A geometry-optimized LiZnSb2Te structure (PBE-GGA, Alexandria via LeMat-Bulk). Values from VASP.

The structure in Quantum ESPRESSO input format:
```
&SYSTEM
  ibrav = 0, nat = 5, ntyp = 4
/
ATOMIC_SPECIES
Li 6.94 Li.upf
Zn 65.41 Zn.upf
Sb 121.76 Sb.upf
Te 127.60 Te.upf
CELL_PARAMETERS angstrom
5.1992 0.0000 0.0000
0.0000 5.1992 0.0000
0.0000 0.0000 5.6804
ATOMIC_POSITIONS crystal
Li 0.0000 0.0000 0.0000
Zn 0.5000 0.5000 0.5000
Sb 0.0000 0.5000 0.5000
Sb 0.5000 0.0000 0.5000
Te 0.5000 0.5000 0.0000
```

Output
Its uncorrected formation energy is 1.442 eV/f.u. Its crystal system is tetragonal. For the total energy, the calculation gives -13.132 eV/f.u.

[8]
# LiZnSb2Te

A geometry-optimized LiZnSb2Te structure (PBE-GGA, Alexandria via LeMat-Bulk). Values from VASP.

The structure in Quantum ESPRESSO input format:
```
&SYSTEM
  ibrav = 0, nat = 5, ntyp = 4
/
ATOMIC_SPECIES
Li 6.94 Li.upf
Zn 65.41 Zn.upf
Sb 121.76 Sb.upf
Te 127.60 Te.upf
CELL_PARAMETERS angstrom
4.9961 0.0000 0.0000
0.0000 4.9961 0.0000
0.0000 0.0000 5.2083
ATOMIC_POSITIONS crystal
Li 0.0000 0.0000 0.0000
Zn 0.5000 0.5000 0.5000
Sb 0.0000 0.5000 0.0000
Sb 0.5000 0.0000 0.0000
Te 0.0000 0.0000 0.5000
```

Output
Its uncorrected formation energy is 1.859 eV/f.u. Its crystal system is tetragonal. For the total energy, the calculation gives -12.715 eV/f.u.

[9]
# LiZrSbTe2

A geometry-optimized LiZrSbTe2 structure (PBE-GGA, Alexandria via LeMat-Bulk). Values from VASP.

The structure in Quantum ESPRESSO input format:
```
&SYSTEM
  ibrav = 0, nat = 5, ntyp = 4
/
ATOMIC_SPECIES
Li 6.94 Li.upf
Zr 91.22 Zr.upf
Sb 121.76 Sb.upf
Te 127.60 Te.upf
CELL_PARAMETERS angstrom
5.1767 0.0000 0.0000
0.0000 5.1767 0.0000
0.0000 0.0000 4.7300
ATOMIC_POSITIONS crystal
Li 0.0000 0.0000 0.0000
Zr 0.5000 0.5000 0.5000
Sb 0.0000 0.0000 0.5000
Te 0.0000 0.5000 0.0000
Te 0.5000 0.0000 0.0000
```

Output
Its uncorrected formation energy is 1.135 eV/f.u. Its crystal system is tetragonal. For the total energy, the calculation gives -19.733 eV/f.u.

[10]
# LiZrSbTe2

A geometry-optimized LiZrSbTe2 structure (PBE-GGA, Alexandria via LeMat-Bulk). Values from VASP.

The structure in Quantum ESPRESSO input format:
```
&SYSTEM
  ibrav = 0, nat = 5, ntyp = 4
/
ATOMIC_SPECIES
Li 6.94 Li.upf
Zr 91.22 Zr.upf
Sb 121.76 Sb.upf
Te 127.60 Te.upf
CELL_PARAMETERS angstrom
5.6459 0.0000 0.0000
0.0000 5.6459 0.0000
0.0000 0.0000 5.6065
ATOMIC_POSITIONS crystal
Li 0.0000 0.0000 0.0000
Zr 0.5000 0.5000 0.5000
Sb 0.5000 0.5000 0.0000
Te 0.0000 0.5000 0.5000
Te 0.5000 0.0000 0.5000
```

Output
Its uncorrected formation energy is -1.099 eV/f.u. Its crystal system is tetragonal. For the total energy, the calculation gives -21.967 eV/f.u.

[11]
# Li4ThSb2

A geometry-optimized Li4ThSb2 structure (PBE-GGA, Alexandria via LeMat-Bulk). Values from VASP.

The structure in Quantum ESPRESSO input format:
```
&SYSTEM
  ibrav = 0, nat = 14, ntyp = 3
/
ATOMIC_SPECIES
Li 6.94 Li.upf
Th 232.04 Th.upf
Sb 121.76 Sb.upf
CELL_PARAMETERS angstrom
8.2190 0.0000 0.0000
0.0000 8.2190 0.0000
0.0000 0.0000 4.4067
ATOMIC_POSITIONS crystal
Li 0.0965 0.3370 0.0000
Li 0.1630 0.5965 0.5000
Li 0.3370 0.0965 0.0000
Li 0.4035 0.8370 0.5000
Li 0.5965 0.1630 0.5000
Li 0.6630 0.9035 0.0000
Li 0.8370 0.4035 0.5000
Li 0.9035 0.6630 0.0000
Th 0.0000 0.0000 0.5000
Th 0.5000 0.5000 0.0000
Sb 0.2127 0.7873 0.0000
Sb 0.2873 0.2873 0.5000
Sb 0.7127 0.7127 0.5000
Sb 0.7873 0.2127 0.0000
```

Output
Its uncorrected formation energy is -4.267 eV/f.u. Its crystal system is tetragonal. For the total energy, the calculation gives -27.586 eV/f.u.

[12]
# LiTh2Sb

A geometry-optimized LiTh2Sb structure (PBE-GGA, Alexandria via LeMat-Bulk). Values from VASP.

The structure in Quantum ESPRESSO input format:
```
&SYSTEM
  ibrav = 0, nat = 4, ntyp = 3
/
ATOMIC_SPECIES
Li 6.94 Li.upf
Th 232.04 Th.upf
Sb 121.76 Sb.upf
CELL_PARAMETERS angstrom
4.7375 0.0000 0.0000
0.0000 4.7375 0.0000
0.0000 0.0000 4.7537
ATOMIC_POSITIONS crystal
Li 0.0000 0.0000 0.0000
Th 0.0000 0.5000 0.5000
Th 0.5000 0.0000 0.5000
Sb 0.5000 0.5000 0.0000
```

Output
Its uncorrected formation energy is -1.326 eV/f.u. Its crystal system is tetragonal. For the total energy, the calculation gives -22.202 eV/f.u.